NaCo2NiF8 | PBE+U | optimized geometry

The space group is Cmmm (No. 65) and the conventional cell measures 6.644, 6.868 and 6.385 Å, with angles of 90.00, 90.00 and 90.00 degrees. Symmetry generates all atoms from Na at (0.000, 0.000, 0.000), Co at (0.000, 0.500, 0.251), Ni at (0.000, 0.000, 0.500), F at (0.000, 0.306, 0.500), F at (0.000, 0.323, 0.000) and F at (0.210, 0.000, 0.272).

The value obtained for the total energy is -4.608 eV per atom. The calculation puts the density at 4.01 g/cm³.